CaNiIr2: relaxed, PBE.

Output
Its distance to the lowest polymorph of the same formula is 0.1090 eV per atom. Its crystal system is monoclinic. The energy relative to the elements is 0.13 eV/atom. Its density of states at the Fermi level is 3.5 states/eV per cell.

```
CaNiIr2
1.0
2.7211 -4.7118 0.0000
2.7211 4.7118 0.0000
-1.3001 0.0000 2.4417
Ca Ni Ir
1 1 2
direct
0.0000 0.0000 0.0000
0.5000 0.5000 0.0000
0.0000 0.5000 0.5000
0.5000 0.0000 0.5000
```

---

Al2CrCu2: relaxed, PBE.

Output
Its distance to the lowest polymorph of the same formula is 0.0000 eV per atom. Its crystal system is tetragonal. The energy relative to the elements is 0.04 eV/atom. Its density of states at the Fermi level is 7.8 states/eV per cell.

```
Al2CrCu2
1.0
7.0127 0.0000 0.0000
0.0000 7.0127 0.0000
0.0000 0.0000 2.6819
Al Cr Cu
4 2 4
direct
0.1762 0.3238 0.0000
0.3238 0.8238 0.0000
0.6762 0.1762 0.0000
0.8238 0.6762 0.0000
0.0000 0.0000 0.5000
0.5000 0.5000 0.5000
0.1230 0.6230 0.5000
0.3770 0.1230 0.5000
0.6230 0.8770 0.5000
0.8770 0.3770 0.5000
```

---

- The highest energy relative to the elements belongs to which entry?
  CaNiIr2

---

- What is the formula in the first record?
  CaNiIr2

---

- The highest energy relative to the elements belongs to which entry?
  CaNiIr2